1.
ZnNi2Mo | PBE | relaxed

Cell lengths 8.566, 8.566, 8.566 Å; angles 17.91, 17.91, 17.91 degrees
Fractional positions:
1 Zn 0.000 0.000 0.000
2 Ni 0.252 0.252 0.252
3 Ni 0.748 0.748 0.748
4 Mo 0.500 0.500 0.500

The calculation puts the total DFT energy (no corrections) at -23.68 eV/cell. Its space group is R-3m, No. 166. For the density of states at the Fermi level, the calculation gives 3.891 states/eV per cell. The calculation puts the energy relative to the elements at -0.0031 eV/atom. As for the density: 8.922 g cm⁻³. For the total magnetization, the calculation gives 0.00 μB/f.u.

2.
ZnNi2Mo | PBE | relaxed

Cell lengths 4.478, 4.478, 2.618 Å; angles 90.00, 90.00, 100.04 degrees
Fractional positions:
1 Zn 0.000 0.000 0.000
2 Ni 0.000 0.500 0.500
3 Ni 0.500 0.000 0.500
4 Mo 0.500 0.500 0.000

The calculation puts the total DFT energy (no corrections) at -23.61 eV/cell. Its space group is Cmmm, No. 65. For the density of states at the Fermi level, the calculation gives 2.968 states/eV per cell. The calculation puts the energy relative to the elements at 0.0144 eV/atom. As for the density: 8.955 g cm⁻³. For the total magnetization, the calculation gives 0.00 μB/f.u.

The highest energy relative to the elements belongs to which entry? number 2

Which formula does entry 1 have? ZnNi2Mo

Which of these has the lowest energy relative to the elements? number 1